A plane-wave DFT calculation with PBE was carried out for a geometry-optimized AlAgW2 structure.

Cell lengths 4.134, 4.134, 7.553 Å; angles 90.00, 90.00, 90.00 degrees
Space group I-4m2 (No. 119)
Inequivalent atoms, fractional coordinates:
Al 0.000 0.000 0.000 (multiplicity 2)
Ag 0.000 0.500 0.250 (multiplicity 2)
W 0.000 0.000 0.500 (multiplicity 2)
W 0.000 0.500 0.750 (multiplicity 2)

Summary:
Calculated volume   129.1 Å³ per cell
Calculated density   12.9 g/cm3
Formation energy   1.6 eV per formula unit

A plane-wave DFT calculation with PBE was carried out for a geometry-optimized AlAg4W structure.

Cell lengths 7.595, 7.595, 7.595 Å; angles 90.00, 90.00, 90.00 degrees
Space group F-43m (No. 216)
Inequivalent atoms, fractional coordinates:
Al 0.000 0.000 0.000 (multiplicity 4)
Ag 0.125 0.125 0.625 (multiplicity 16)
W 0.250 0.250 0.250 (multiplicity 4)

Summary:
Calculated volume   438.2 Å³ per cell
Calculated density   9.7 g/cm3
Formation energy   4.5 eV per formula unit

A plane-wave DFT calculation with PBE was carried out for a geometry-optimized AlAgW2 structure.

Cell lengths 2.764, 5.261, 9.229 Å; angles 99.90, 90.31, 96.46 degrees
Space group P1 (No. 1)
Inequivalent atoms, fractional coordinates:
Al 0.000 0.000 0.000 (multiplicity 1)
Al 0.015 0.440 0.266 (multiplicity 1)
Ag 0.464 0.956 0.246 (multiplicity 1)
Ag 0.949 0.844 0.499 (multiplicity 1)
W 0.270 0.681 0.761 (multiplicity 1)
W 0.474 0.351 0.525 (multiplicity 1)
W 0.524 0.497 0.004 (multiplicity 1)
W 0.735 0.173 0.761 (multiplicity 1)

Summary:
Calculated volume   131.3 Å³ per cell
Calculated density   12.7 g/cm3
Formation energy   0.8 eV per formula unit

A plane-wave DFT calculation with PBE was carried out for a geometry-optimized AlAgW3 structure.

Cell lengths 4.551, 4.551, 4.551 Å; angles 90.00, 90.00, 90.00 degrees
Space group Pm-3m (No. 221)
Inequivalent atoms, fractional coordinates:
Al 0.000 0.000 0.000 (multiplicity 1)
Ag 0.500 0.500 0.500 (multiplicity 1)
W 0.000 0.000 0.500 (multiplicity 3)

Summary:
Calculated volume   94.3 Å³ per cell
Calculated density   12.1 g/cm3
Formation energy   9.7 eV per formula unit
E above lowest polymorph   0.000 eV/atom

A plane-wave DFT calculation with PBE was carried out for a geometry-optimized Al2AgW2 structure.

Cell lengths 3.684, 3.684, 12.839 Å; angles 90.00, 90.00, 90.00 degrees
Space group I4/mmm (No. 139)
Inequivalent atoms, fractional coordinates:
Al 0.000 0.500 0.250 (multiplicity 4)
Ag 0.000 0.000 0.000 (multiplicity 2)
W 0.000 0.000 0.403 (multiplicity 4)

Summary:
Calculated volume   174.2 Å³ per cell
Calculated density   10.1 g/cm3
Formation energy   3.6 eV per formula unit

A plane-wave DFT calculation with PBE was carried out for a geometry-optimized Y2Al5Ag5 structure.

Cell lengths 4.443, 5.444, 9.550 Å; angles 90.00, 90.00, 90.00 degrees
Space group Pmmm (No. 47)
Inequivalent atoms, fractional coordinates:
Y 0.000 0.000 0.000 (multiplicity 1)
Y 0.000 0.500 0.500 (multiplicity 1)
Al 0.500 0.000 0.500 (multiplicity 1)
Al 0.500 0.248 0.244 (multiplicity 4)
Ag 0.000 0.000 0.335 (multiplicity 2)
Ag 0.000 0.500 0.180 (multiplicity 2)
Ag 0.500 0.500 0.000 (multiplicity 1)

Summary:
Calculated volume   231.0 Å³ per cell
Calculated density   6.1 g/cm3
Formation energy   -3.9 eV per formula unit

A plane-wave DFT calculation with PBE was carried out for a geometry-optimized YAlAg2 structure.

Cell lengths 4.449, 4.449, 18.795 Å; angles 90.00, 90.00, 90.00 degrees
Space group I-42d (No. 122)
Inequivalent atoms, fractional coordinates:
Y 0.000 0.000 0.000 (multiplicity 4)
Al 0.000 0.000 0.500 (multiplicity 4)
Ag 0.186 0.250 0.625 (multiplicity 8)

Summary:
Calculated volume   371.9 Å³ per cell
Calculated density   5.9 g/cm3
Formation energy   0.1 eV per formula unit

A plane-wave DFT calculation with PBE was carried out for a geometry-optimized Y5Al2Ag structure.

Cell lengths 7.656, 7.656, 14.818 Å; angles 90.00, 90.00, 90.00 degrees
Space group I4/mcm (No. 140)
Inequivalent atoms, fractional coordinates:
Y 0.000 0.000 0.000 (multiplicity 4)
Y 0.168 0.332 0.147 (multiplicity 16)
Al 0.122 0.378 0.500 (multiplicity 8)
Ag 0.000 0.000 0.250 (multiplicity 4)

Summary:
Calculated volume   868.6 Å³ per cell
Calculated density   4.6 g/cm3
Formation energy   -2.3 eV per formula unit

A plane-wave DFT calculation with PBE was carried out for a geometry-optimized YAl2Ag2 structure.

Cell lengths 8.094, 8.094, 2.927 Å; angles 90.00, 90.00, 90.00 degrees
Space group P4/mbm (No. 127)
Inequivalent atoms, fractional coordinates:
Y 0.000 0.000 0.000 (multiplicity 2)
Al 0.130 0.370 0.000 (multiplicity 4)
Ag 0.165 0.665 0.500 (multiplicity 4)

Summary:
Calculated volume   191.8 Å³ per cell
Calculated density   6.2 g/cm3
Formation energy   -0.7 eV per formula unit

A plane-wave DFT calculation with PBE was carried out for a geometry-optimized Y3Al2Ag4 structure.

Cell lengths 10.827, 4.629, 8.803 Å; angles 90.00, 115.54, 90.00 degrees
Space group C2/m (No. 12)
Inequivalent atoms, fractional coordinates:
Y 0.000 0.000 0.000 (multiplicity 2)
Y 0.151 0.500 0.682 (multiplicity 4)
Al 0.138 0.500 0.308 (multiplicity 4)
Ag 0.084 0.000 0.408 (multiplicity 4)
Ag 0.215 0.500 0.063 (multiplicity 4)

Summary:
Calculated volume   398.1 Å³ per cell
Calculated density   6.3 g/cm3
Formation energy   -3.2 eV per formula unit

A plane-wave DFT calculation with PBE was carried out for a geometry-optimized YAl2Ag6 structure.

Cell lengths 4.249, 4.249, 9.604 Å; angles 90.00, 90.00, 90.00 degrees
Space group P4/mmm (No. 123)
Inequivalent atoms, fractional coordinates:
Y 0.000 0.000 0.000 (multiplicity 1)
Al 0.500 0.500 0.131 (multiplicity 2)
Ag 0.000 0.000 0.500 (multiplicity 1)
Ag 0.000 0.500 0.288 (multiplicity 4)
Ag 0.500 0.500 0.500 (multiplicity 1)

Summary:
Calculated volume   173.4 Å³ per cell
Calculated density   7.6 g/cm3
Formation energy   -1.4 eV per formula unit

A plane-wave DFT calculation with PBE was carried out for a geometry-optimized Y2Al4Ag5 structure.

Cell lengths 5.711, 8.708, 8.782 Å; angles 90.00, 90.00, 90.00 degrees
Space group Immm (No. 71)
Inequivalent atoms, fractional coordinates:
Y 0.000 0.000 0.211 (multiplicity 4)
Al 0.000 0.340 0.253 (multiplicity 8)
Ag 0.000 0.500 0.500 (multiplicity 2)
Ag 0.248 0.197 0.500 (multiplicity 8)

Summary:
Calculated volume   436.7 Å³ per cell
Calculated density   6.3 g/cm3
Formation energy   -2.2 eV per formula unit